A relaxed Mg2HgRu crystal. Source: Alexandria via LeMat-Bulk, functional PBE.

Cell: 5.2775 5.2775 5.2775 Å, 135.88 135.88 64.17°
Last column: nearest neighbours and their distance in Å.
Atoms (fractional coordinates):
Ru 0.5000 0.5000 0.0000  8 Mg 2.80-2.99, 4 Hg 2.99
Hg 0.7500 0.2500 0.5000  8 Mg 2.80-2.99, 4 Ru 2.99
Mg 0.0000 0.0000 0.0000  4 Ru 2.80, 4 Hg 2.99, 4 Mg 2.99
Mg 0.2500 0.7500 0.5000  4 Hg 2.80, 4 Ru 2.99, 4 Mg 2.99

Energy of formation ... -0.001 eV/atom
E_tot ... -3.193 eV per atom